(1)
A plane-wave DFT calculation with GGA-PBE was carried out for an optimized crystal structure of MgMnFe2.

abc: 2.9299 2.9299 6.3974
angles: 90.00 90.00 90.00
Space group P4mm (No. 99)
Asymmetric unit:
Mg: 0.0000 0.0000 0.0000
Mn: 0.5000 0.5000 0.3052
Fe: 0.0000 0.0000 0.5257
Fe: 0.5000 0.5000 0.7206

## Properties
Calculated volume (Å³ per atom): 13.73
Total moment (μB/cell): 7.173
DFT formation energy (kJ/mol of atoms): 19


(2)
A plane-wave DFT calculation with GGA-PBE was carried out for an optimized crystal structure of MgMnFe4.

abc: 6.7592 6.7592 6.7592
angles: 90.00 90.00 90.00
Space group F-43m (No. 216)
Asymmetric unit:
Mg: 0.0000 0.0000 0.0000
Mn: 0.2500 0.2500 0.7500
Fe: 0.1248 0.1248 0.3752

## Properties
Calculated volume (Å³ per atom): 12.87
Total moment (μB/cell): 42.629
DFT formation energy (kJ/mol of atoms): 13


(3)
A plane-wave DFT calculation with GGA-PBE was carried out for an optimized crystal structure of MgMnFe2.

abc: 3.0195 4.1105 8.1780
angles: 90.00 90.00 90.00
Space group Cmmm (No. 65)
Asymmetric unit:
Mg: 0.0000 0.0000 0.0000
Mn: 0.0000 0.0000 0.5000
Fe: 0.0000 0.5000 0.2712

## Properties
Calculated volume (Å³ per atom): 12.69
Total moment (μB/cell): 9.860
DFT formation energy (kJ/mol of atoms): 28


(4)
A plane-wave DFT calculation with GGA-PBE was carried out for an optimized crystal structure of MgMnFe2.

abc: 2.6265 2.6265 25.6536
angles: 90.00 90.00 120.00
Space group R-3m (No. 166, hexagonal axes)
Asymmetric unit:
Mg: 0.0000 0.0000 0.0000
Mn: 0.0000 0.0000 0.5000
Fe: 0.0000 0.0000 0.2434

## Properties
Calculated volume (Å³ per atom): 12.77
Total moment (μB/cell): 5.650
DFT formation energy (kJ/mol of atoms): 31


(5)
A plane-wave DFT calculation with GGA-PBE was carried out for an optimized crystal structure of MgMn2Fe2.

abc: 3.8177 3.8177 9.1707
angles: 90.00 90.00 90.00
Space group I4/mmm (No. 139)
Asymmetric unit:
Mg: 0.0000 0.0000 0.0000
Mn: 0.0000 0.5000 0.2500
Fe: 0.0000 0.0000 0.3840

## Properties
Energy relative to the lowest polymorph listed for this composition (meV/atom): 41
Calculated volume (Å³ per atom): 13.37
Total moment (μB/cell): 4.243
DFT formation energy (kJ/mol of atoms): 27


(6)
A plane-wave DFT calculation with GGA-PBE was carried out for an optimized crystal structure of MgMnFe.

abc: 5.7521 5.7521 5.7521
angles: 90.00 90.00 90.00
Space group F-43m (No. 216)
Asymmetric unit:
Mg: 0.0000 0.0000 0.0000
Mn: 0.0000 0.0000 0.5000
Fe: 0.2500 0.2500 0.7500

## Properties
Energy relative to the lowest polymorph listed for this composition (meV/atom): 477
Calculated volume (Å³ per atom): 15.86
Total moment (μB/cell): 3.158
DFT formation energy (kJ/mol of atoms): 69


(7)
A plane-wave DFT calculation with GGA-PBE was carried out for an optimized crystal structure of Mg3MnFe.

abc: 4.7406 4.7406 4.7406
angles: 90.00 90.00 90.00
Space group Pm-3m (No. 221)
Asymmetric unit:
Mg: 0.0000 0.0000 0.5000
Mn: 0.5000 0.5000 0.5000
Fe: 0.0000 0.0000 0.0000

## Properties
Energy relative to the lowest polymorph listed for this composition (meV/atom): 168
Calculated volume (Å³ per atom): 21.31
Total moment (μB/cell): 1.855
DFT formation energy (kJ/mol of atoms): 122


(8)
A plane-wave DFT calculation with GGA-PBE was carried out for an optimized crystal structure of Mg14MnFe.

abc: 6.2236 6.2236 9.9621
angles: 90.00 90.00 120.00
Space group P-6m2 (No. 187)
Asymmetric unit:
Mg: 0.0000 0.0000 0.2482
Mg: 0.0128 0.5064 0.2541
Mg: 0.3319 0.1660 0.5000
Mg: 0.3357 0.1678 0.0000
Mn: 0.3333 0.6667 0.0000
Fe: 0.3333 0.6667 0.5000

## Properties
Energy relative to the lowest polymorph listed for this composition (meV/atom): 9
Calculated volume (Å³ per atom): 20.89
Total moment (μB/cell): 6.228
DFT formation energy (kJ/mol of atoms): 11